# 1
Entry from Alexandria via LeMat-Bulk: a relaxed Li6Mn5FeB6O18 crystal (PBE with a Hubbard U).

Summary:
excess energy over the best structure of this formula in the dataset: 0.0000 eV per atom
total magnetization: 0.805 μB/atom
calculated volume: 10.44 A^3/atom

Lattice parameters (Å, degrees): 8.857 8.857 8.251 62.23 62.23 42.10
Site moments in Bohr magnetons follow the coordinates.
Element x y z (fractional)
B (0.081, 0.585, 0.668)  0.02
O (0.961, 0.961, 0.194)  0.03
Li (0.609, 0.109, 0.984)  0.00
Mn (0.505, 0.505, 0.627)  4.63
Li (0.400, 0.899, 0.718)  0.00
O (0.038, 0.540, 0.562)  0.04
Fe (0.681, 0.681, 0.006)  3.76
O (0.179, 0.680, 0.579)  0.04
O (0.860, 0.362, 0.526)  0.04
Mn (0.006, 0.006, 0.628)  4.63
Li (0.109, 0.609, 0.984)  0.00
O (0.013, 0.514, 0.251)  0.04
O (0.680, 0.179, 0.579)  0.04
Mn (0.815, 0.815, 0.360)  4.63
B (0.000, 0.000, 0.000)  0.01
B (0.500, 0.500, 0.003)  0.01
O (0.097, 0.097, 0.884)  0.03
O (0.514, 0.013, 0.251)  0.04
Mn (0.313, 0.313, 0.363)  4.63
O (0.026, 0.534, 0.862)  0.04
O (0.943, 0.943, 0.921)  0.03
Li (0.742, 0.243, 0.299)  0.00
Li (0.243, 0.742, 0.299)  0.00
O (0.362, 0.860, 0.526)  0.04
O (0.534, 0.026, 0.862)  0.04
O (0.444, 0.444, 0.920)  0.03
O (0.540, 0.038, 0.562)  0.04
B (0.585, 0.081, 0.668)  0.02
B (0.915, 0.418, 0.332)  0.02
Li (0.899, 0.400, 0.718)  0.00
O (0.378, 0.874, 0.219)  0.04
O (0.597, 0.597, 0.891)  0.04
O (0.459, 0.459, 0.196)  0.03
Mn (0.181, 0.181, 0.011)  4.63
O (0.874, 0.378, 0.219)  0.04
B (0.418, 0.915, 0.332)  0.02



# 2
Entry from Alexandria via LeMat-Bulk: a relaxed Li8Mn7FeB8O24 crystal (PBE with a Hubbard U).

Summary:
excess energy over the best structure of this formula in the dataset: 0.1973 eV per atom
total magnetization: 0.061 μB/atom
calculated volume: 10.23 A^3/atom

Lattice parameters (Å, degrees): 5.232 9.131 11.402 112.10 102.58 89.51
Site moments in Bohr magnetons follow the coordinates.
Element x y z (fractional)
Mn (0.516, 0.856, 0.383)  -0.95
Li (0.530, 0.540, 0.416)  0.00
O (0.412, 0.087, 0.424)  0.01
Mn (0.483, 0.156, 0.633)  -2.77
O (0.904, 0.295, 0.168)  0.01
O (0.465, 0.372, 0.112)  0.02
O (0.772, 0.153, 0.346)  0.00
B (0.766, 0.105, 0.873)  -0.01
O (0.407, 0.798, 0.174)  0.01
O (0.170, 0.501, 0.925)  0.01
O (0.076, 0.170, 0.614)  -0.03
Li (0.270, 0.246, 0.167)  0.00
O (0.578, 0.669, 0.612)  0.01
O (0.263, 0.650, 0.338)  -0.02
Li (0.294, 0.286, 0.916)  0.00
Mn (0.024, 0.356, 0.385)  4.62
O (0.102, 0.425, 0.599)  0.01
O (0.334, 0.011, 0.095)  -0.04
B (0.263, 0.604, 0.877)  0.01
Li (0.769, 0.744, 0.168)  0.00
Li (0.485, 0.507, 0.667)  0.00
Mn (0.270, 0.938, 0.880)  -4.62
O (0.238, 0.848, 0.665)  -0.03
B (0.236, 0.893, 0.128)  -0.01
O (0.022, 0.111, 0.860)  -0.02
Mn (0.745, 0.066, 0.134)  -4.62
B (0.023, 0.686, 0.376)  0.00
B (0.733, 0.393, 0.126)  0.01
B (0.974, 0.315, 0.629)  0.00
Fe (0.764, 0.441, 0.884)  3.75
Mn (0.983, 0.654, 0.630)  -0.95
O (0.967, 0.869, 0.110)  -0.01
B (0.529, 0.186, 0.379)  0.00
O (0.834, 0.512, 0.095)  0.02
Mn (0.239, 0.570, 0.133)  2.84
O (0.597, 0.212, 0.840)  0.02
Li (0.029, 0.039, 0.421)  0.00
O (0.597, 0.920, 0.589)  -0.01
O (0.901, 0.815, 0.363)  0.01
O (0.521, 0.607, 0.865)  0.03
O (0.408, 0.315, 0.364)  0.02
Li (0.980, 0.005, 0.662)  0.00
B (0.472, 0.812, 0.623)  -0.01
O (0.676, 0.995, 0.916)  -0.04
O (0.741, 0.351, 0.671)  0.02
O (0.910, 0.588, 0.424)  0.01
O (0.095, 0.707, 0.839)  -0.01
Li (0.794, 0.783, 0.913)  0.00



# 3
Entry from Alexandria via LeMat-Bulk: a relaxed Li4Mn3FeB4O12 crystal (PBE with a Hubbard U).

Summary:
excess energy over the best structure of this formula in the dataset: 0.0827 eV per atom
total magnetization: 0.207 μB/atom
calculated volume: 10.43 A^3/atom

Lattice parameters (Å, degrees): 5.194 5.247 10.869 76.71 78.93 60.75
Site moments in Bohr magnetons follow the coordinates.
Element x y z (fractional)
Li (0.104, 0.964, 0.664)  0.00
Mn (0.777, 0.628, 0.620)  -4.63
O (0.400, 0.560, 0.651)  -0.02
B (0.946, 0.788, 0.129)  0.00
Li (0.897, 0.040, 0.335)  0.00
B (0.439, 0.292, 0.632)  -0.01
Li (0.392, 0.537, 0.845)  0.00
O (0.213, 0.277, 0.585)  0.00
O (0.784, 0.727, 0.411)  0.00
O (0.306, 0.973, 0.329)  0.02
O (0.096, 0.941, 0.854)  0.02
O (0.597, 0.441, 0.349)  0.03
B (0.561, 0.711, 0.364)  0.01
Mn (0.220, 0.373, 0.377)  4.62
O (0.696, 0.032, 0.664)  -0.01
O (0.709, 0.783, 0.088)  0.02
Mn (0.716, 0.876, 0.882)  4.62
O (0.281, 0.223, 0.923)  0.02
B (0.055, 0.209, 0.875)  0.01
O (0.917, 0.054, 0.146)  0.02
O (0.799, 0.469, 0.842)  0.01
Li (0.609, 0.459, 0.156)  0.00
O (0.200, 0.523, 0.158)  0.01
Fe (0.284, 0.119, 0.121)  0.00



# 4
Entry from Alexandria via LeMat-Bulk: a relaxed Li4Mn3FeB4O12 crystal (PBE with a Hubbard U).

Summary:
excess energy over the best structure of this formula in the dataset: 0.0014 eV per atom
total magnetization: 0.458 μB/atom
calculated volume: 10.57 A^3/atom

Lattice parameters (Å, degrees): 5.177 6.223 8.037 78.72 88.72 87.40
Site moments in Bohr magnetons follow the coordinates.
Element x y z (fractional)
B (0.598, 0.592, 0.670)  0.01
O (0.015, 0.746, 0.958)  -0.01
B (0.905, 0.904, 0.833)  0.00
Li (0.084, 0.476, 0.851)  0.00
O (0.454, 0.507, 0.814)  0.01
O (0.991, 0.254, 0.045)  0.02
O (0.856, 0.517, 0.655)  0.04
O (0.537, 0.494, 0.180)  0.00
O (0.507, 0.247, 0.452)  0.02
Mn (0.595, 0.244, 0.995)  4.63
O (0.043, 0.991, 0.686)  0.03
Li (0.915, 0.526, 0.150)  0.00
O (0.141, 0.483, 0.346)  0.04
B (0.398, 0.410, 0.328)  0.01
Mn (0.097, 0.743, 0.496)  4.63
Mn (0.903, 0.256, 0.505)  4.63
Li (0.417, 0.025, 0.650)  0.00
O (0.957, 0.010, 0.316)  0.04
O (0.644, 0.974, 0.849)  0.00
O (0.494, 0.756, 0.545)  0.03
Li (0.584, 0.974, 0.348)  0.00
Fe (0.410, 0.761, 0.004)  -3.75
O (0.355, 0.016, 0.154)  0.00
B (0.098, 0.092, 0.170)  0.01



# 5
Entry from Alexandria via LeMat-Bulk: a relaxed Li8Mn3Fe5B8O24 crystal (PBE with a Hubbard U).

Summary:
excess energy over the best structure of this formula in the dataset: 0.2240 eV per atom
total magnetization: 0.146 μB/atom
calculated volume: 9.96 A^3/atom

Lattice parameters (Å, degrees): 5.224 5.233 20.095 90.94 90.92 119.42
Site moments in Bohr magnetons follow the coordinates.
Element x y z (fractional)
Li (0.676, 0.653, 0.833)  0.00
O (0.075, 0.749, 0.294)  0.00
Li (0.657, 0.674, 0.082)  0.00
O (0.745, 0.075, 0.545)  0.02
O (0.072, 0.748, 0.796)  0.01
O (0.577, 0.972, 0.336)  -0.02
Fe (0.010, 0.673, 0.191)  -1.90
B (0.666, 0.004, 0.187)  -0.01
Fe (0.324, 0.993, 0.067)  -1.90
Li (0.347, 0.338, 0.206)  0.00
O (0.731, 0.652, 0.432)  0.03
B (0.004, 0.664, 0.940)  0.01
O (0.273, 0.360, 0.556)  0.03
Mn (0.993, 0.323, 0.817)  2.80
O (0.656, 0.735, 0.682)  -0.01
O (0.732, 0.641, 0.934)  0.03
O (0.979, 0.581, 0.586)  0.02
B (0.001, 0.667, 0.437)  0.01
O (0.367, 0.273, 0.807)  0.03
Li (0.351, 0.338, 0.708)  0.00
O (0.418, 0.030, 0.170)  0.00
O (0.925, 0.254, 0.210)  -0.02
Fe (0.012, 0.671, 0.692)  0.01
Li (0.337, 0.343, 0.959)  0.00
Li (0.675, 0.657, 0.332)  0.00
Mn (0.990, 0.323, 0.315)  -0.95
B (0.339, 0.999, 0.814)  0.01
Fe (0.670, 0.012, 0.441)  1.90
O (0.652, 0.735, 0.182)  -0.01
O (0.272, 0.358, 0.059)  -0.01
O (0.745, 0.075, 0.047)  -0.02
B (0.667, 0.003, 0.689)  0.00
O (0.978, 0.582, 0.086)  0.00
O (0.363, 0.274, 0.307)  0.01
Li (0.658, 0.678, 0.582)  0.00
O (0.575, 0.968, 0.837)  0.00
B (0.999, 0.339, 0.563)  0.01
O (0.040, 0.423, 0.921)  0.01
O (0.926, 0.253, 0.711)  -0.01
Li (0.335, 0.346, 0.454)  0.00
O (0.418, 0.027, 0.673)  0.03
Mn (0.670, 0.009, 0.942)  2.81
O (0.251, 0.926, 0.457)  0.03
O (0.248, 0.924, 0.963)  0.01
B (0.339, 0.001, 0.313)  -0.01
Fe (0.317, 0.999, 0.566)  3.75
O (0.026, 0.418, 0.420)  0.01
B (0.001, 0.339, 0.065)  0.00



# 6
Entry from Alexandria via LeMat-Bulk: a relaxed Li8Mn7FeB8O24 crystal (PBE with a Hubbard U).

Summary:
excess energy over the best structure of this formula in the dataset: 0.0710 eV per atom
total magnetization: 0.729 μB/atom
calculated volume: 10.49 A^3/atom

Lattice parameters (Å, degrees): 5.951 9.016 9.821 81.61 80.09 77.33
Site moments in Bohr magnetons follow the coordinates.
Element x y z (fractional)
Li (0.776, 0.535, 0.546)  0.00
O (0.687, 0.982, 0.614)  0.02
Mn (0.031, 0.297, 0.728)  4.63
Mn (0.526, 0.301, 0.230)  2.81
O (0.857, 0.248, 0.304)  0.01
Mn (0.776, 0.797, 0.977)  4.63
O (0.111, 0.744, 0.059)  0.04
Li (0.225, 0.465, 0.456)  0.00
O (0.887, 0.256, 0.941)  0.04
O (0.407, 0.862, 0.911)  0.03
Li (0.720, 0.468, 0.953)  0.00
O (0.067, 0.520, 0.636)  0.02
O (0.828, 0.640, 0.830)  0.01
Mn (0.718, 0.203, 0.521)  4.63
B (0.265, 0.133, 0.472)  0.02
O (0.613, 0.745, 0.563)  0.03
Li (0.977, 0.965, 0.708)  0.00
B (0.233, 0.864, 0.026)  0.02
O (0.313, 0.017, 0.387)  0.03
O (0.934, 0.480, 0.364)  0.03
Li (0.526, 0.033, 0.794)  0.00
B (0.985, 0.366, 0.278)  0.01
Li (0.024, 0.033, 0.293)  0.00
O (0.187, 0.980, 0.111)  0.03
O (0.432, 0.484, 0.861)  0.02
O (0.090, 0.135, 0.586)  0.04
O (0.660, 0.365, 0.663)  0.04
Li (0.280, 0.534, 0.044)  0.00
O (0.146, 0.751, 0.698)  0.01
O (0.342, 0.634, 0.337)  0.04
O (0.814, 0.020, 0.888)  0.03
Mn (0.970, 0.703, 0.272)  4.63
Mn (0.283, 0.795, 0.480)  4.63
Mn (0.221, 0.203, 0.023)  4.63
O (0.386, 0.253, 0.441)  0.02
O (0.171, 0.361, 0.169)  0.02
B (0.484, 0.368, 0.777)  0.02
B (0.766, 0.135, 0.973)  0.02
Li (0.474, 0.967, 0.206)  0.00
Fe (0.471, 0.702, 0.771)  1.91
O (0.910, 0.863, 0.416)  0.04
B (0.517, 0.634, 0.222)  0.02
O (0.591, 0.137, 0.087)  0.04
B (0.735, 0.865, 0.530)  0.02
O (0.568, 0.520, 0.135)  0.02
O (0.364, 0.246, 0.809)  0.04
B (0.016, 0.635, 0.723)  0.01
O (0.636, 0.756, 0.192)  0.04



Question: What is the excess energy over the best structure of this formula in the dataset in the first record?
Answer: 0.0000 eV per atom